An optimized crystal structure of CaCoHg. Source: Alexandria, functional GGA-PBE.

**Energy relative to the elements**: 0.7 kJ/mol of atoms
**DOS at the Fermi energy**: 5.38 states/eV/cell
**Spin magnetization**: 0.3487 μB per atom

```
6
Lattice="7.3497 -1.9599 0.0000 7.3497 1.9599 0.0000 -0.9955 0.0000 4.8902" Properties=species:S:1:pos:R:3 pbc="T T T"
Ca 0.0000 0.0000 0.0000
Ca 10.8513 0.0000 0.4433
Co 6.9348 0.0000 2.4602
Co 13.2273 0.0000 2.2583
Hg 1.4235 0.0000 2.8184
Hg 4.2681 0.0000 3.0940
```